(1)
# AlTcOs2 PBE-GGA optimized geometry
data_AlTcOs2
_space_group_name_H-M_alt 'R -3 m'
_space_group_IT_number 166
_space_group_name_Hall '-R 3 2"'
_cell_length_a 2.7681
_cell_length_b 2.7681
_cell_length_c 25.9647
_cell_angle_alpha 90.00
_cell_angle_beta 90.00
_cell_angle_gamma 120.00
loop_
_atom_site_label
_atom_site_type_symbol
_atom_site_fract_x
_atom_site_fract_y
_atom_site_fract_z
Al1 Al 0.0000 0.0000 0.0000
Tc1 Tc 0.0000 0.0000 0.5000
Os1 Os 0.0000 0.0000 0.2503
# Spin magnetization: 0.0 μB/f.u.
# E_form: -0.08 eV per atom

***

(2)
# RbMg3Be PBE-GGA optimized geometry
data_RbMg3Be
_space_group_name_H-M_alt 'P m -3 m'
_space_group_IT_number 221
_space_group_name_Hall '-P 4 2 3'
_cell_length_a 5.122
_cell_length_b 5.122
_cell_length_c 5.122
_cell_angle_alpha 90.00
_cell_angle_beta 90.00
_cell_angle_gamma 90.00
loop_
_atom_site_label
_atom_site_type_symbol
_atom_site_fract_x
_atom_site_fract_y
_atom_site_fract_z
Rb1 Rb 0.000 0.000 0.000
Mg1 Mg 0.000 0.500 0.500
Be1 Be 0.500 0.500 0.500
# Spin magnetization: 0.0 μB/f.u.
# Offset from the most stable computed form: 0 meV per atom
# E_form: 0.32 eV per atom

***

(3)
# TaTiH2 PBE-GGA optimized geometry
data_TaTiH2
_space_group_name_H-M_alt 'I -4 2 d'
_space_group_IT_number 122
_space_group_name_Hall 'I -4 2bw'
_cell_length_a 4.804
_cell_length_b 4.804
_cell_length_c 6.903
_cell_angle_alpha 90.00
_cell_angle_beta 90.00
_cell_angle_gamma 90.00
loop_
_atom_site_label
_atom_site_type_symbol
_atom_site_fract_x
_atom_site_fract_y
_atom_site_fract_z
Ta1 Ta 0.000 0.000 0.000
Ti1 Ti 0.000 0.000 0.500
H1 H 0.244 0.250 0.625
# Spin magnetization: 0.0 μB/f.u.
# Offset from the most stable computed form: 0 meV per atom

***

(4)
# CdReBr2 PBE-GGA optimized geometry
data_CdReBr2
_space_group_name_H-M_alt 'C 1 2/m 1'
_space_group_IT_number 12
_space_group_name_Hall '-C 2y'
_cell_length_a 7.164
_cell_length_b 3.201
_cell_length_c 9.541
_cell_angle_alpha 90.00
_cell_angle_beta 96.57
_cell_angle_gamma 90.00
loop_
_atom_site_label
_atom_site_type_symbol
_atom_site_fract_x
_atom_site_fract_y
_atom_site_fract_z
Cd1 Cd 0.000 0.000 0.000
Re1 Re 0.000 0.500 0.500
Br1 Br 0.224 0.000 0.650
# Spin magnetization: 0.0 μB/f.u.
# Offset from the most stable computed form: 226 meV per atom
# Formation energy (no corrections): 0.481 eV per atom

***

(5)
# LaNdErSc PBE-GGA optimized geometry
data_LaNdErSc
_space_group_name_H-M_alt 'F -4 3 m'
_space_group_IT_number 216
_space_group_name_Hall 'F -4 2 3'
_cell_length_a 7.986
_cell_length_b 7.986
_cell_length_c 7.986
_cell_angle_alpha 90.00
_cell_angle_beta 90.00
_cell_angle_gamma 90.00
loop_
_atom_site_label
_atom_site_type_symbol
_atom_site_fract_x
_atom_site_fract_y
_atom_site_fract_z
La1 La 0.000 0.000 0.000
Nd1 Nd 0.000 0.000 0.500
Er1 Er 0.250 0.250 0.750
Sc1 Sc 0.250 0.250 0.250
# Spin magnetization: 0.0 μB/f.u.
# Offset from the most stable computed form: 0 meV per atom
# E_form: 0.09 eV per atom

***

(6)
# NbAlGa4 PBE-GGA optimized geometry
data_NbAlGa4
_space_group_name_H-M_alt 'C 1 2/c 1'
_space_group_IT_number 15
_space_group_name_Hall '-C 2yc'
_cell_length_a 9.279
_cell_length_b 4.913
_cell_length_c 9.262
_cell_angle_alpha 90.00
_cell_angle_beta 109.32
_cell_angle_gamma 90.00
loop_
_atom_site_label
_atom_site_type_symbol
_atom_site_fract_x
_atom_site_fract_y
_atom_site_fract_z
Nb1 Nb 0.000 0.250 0.250
Al1 Al 0.250 0.250 0.500
Ga1 Ga 0.038 0.250 0.957
Ga2 Ga 0.207 0.249 0.789
# Spin magnetization: 0.0 μB/f.u.
# E_form: -0.13 eV per atom

***

(7)
# Ba2CdPdAu6 PBE-GGA optimized geometry
data_Ba2CdPdAu6
_space_group_name_H-M_alt 'F m -3 m'
_space_group_IT_number 225
_space_group_name_Hall '-F 4 2 3'
_cell_length_a 10.483
_cell_length_b 10.483
_cell_length_c 10.483
_cell_angle_alpha 90.00
_cell_angle_beta 90.00
_cell_angle_gamma 90.00
loop_
_atom_site_label
_atom_site_type_symbol
_atom_site_fract_x
_atom_site_fract_y
_atom_site_fract_z
Ba1 Ba 0.250 0.250 0.250
Cd1 Cd 0.000 0.000 0.000
Pd1 Pd 0.000 0.000 0.500
Au1 Au 0.000 0.000 0.253
# Spin magnetization: 0.0 μB/f.u.
# E_form: -0.30 eV per atom

***

(8)
# ScTl2Re2 PBE-GGA optimized geometry
data_ScTl2Re2
_space_group_name_H-M_alt 'P 4/m b m'
_space_group_IT_number 127
_space_group_name_Hall '-P 4 2ab'
_cell_length_a 8.159
_cell_length_b 8.159
_cell_length_c 3.063
_cell_angle_alpha 90.00
_cell_angle_beta 90.00
_cell_angle_gamma 90.00
loop_
_atom_site_label
_atom_site_type_symbol
_atom_site_fract_x
_atom_site_fract_y
_atom_site_fract_z
Sc1 Sc 0.000 0.000 0.000
Tl1 Tl 0.185 0.315 0.000
Re1 Re 0.105 0.605 0.500
# Spin magnetization: 0.5 μB/f.u.
# Offset from the most stable computed form: 184 meV per atom
# E_form: 0.78 eV per atom

***

(9)
# K2PbIO4 PBE-GGA optimized geometry
data_K2PbIO4
_space_group_name_H-M_alt 'I -4'
_space_group_IT_number 82
_space_group_name_Hall 'I -4'
_cell_length_a 6.591
_cell_length_b 6.591
_cell_length_c 7.322
_cell_angle_alpha 90.00
_cell_angle_beta 90.00
_cell_angle_gamma 90.00
loop_
_atom_site_label
_atom_site_type_symbol
_atom_site_fract_x
_atom_site_fract_y
_atom_site_fract_z
K1 K 0.000 0.000 0.000
K2 K 0.000 0.500 0.250
Pb1 Pb 0.000 0.500 0.750
I1 I 0.000 0.000 0.500
O1 O 0.151 0.284 0.534
# Spin magnetization: 0.0 μB/f.u.
# Formation energy (no corrections): -0.900 eV per atom

***

(10)
# BaLaAg2 PBE-GGA optimized geometry
data_BaLaAg2
_space_group_name_H-M_alt 'P 4/m m m'
_space_group_IT_number 123
_space_group_name_Hall '-P 4 2'
_cell_length_a 5.641
_cell_length_b 5.641
_cell_length_c 3.887
_cell_angle_alpha 90.00
_cell_angle_beta 90.00
_cell_angle_gamma 90.00
loop_
_atom_site_label
_atom_site_type_symbol
_atom_site_fract_x
_atom_site_fract_y
_atom_site_fract_z
Ba1 Ba 0.000 0.000 0.000
La1 La 0.500 0.500 0.000
Ag1 Ag 0.000 0.500 0.500
# Spin magnetization: 0.0 μB/f.u.
# E_form: -0.19 eV per atom

***

(11)
# Zr2CrPt PBE-GGA optimized geometry
data_Zr2CrPt
_space_group_name_H-M_alt 'F m -3 m'
_space_group_IT_number 225
_space_group_name_Hall '-F 4 2 3'
_cell_length_a 6.578
_cell_length_b 6.578
_cell_length_c 6.578
_cell_angle_alpha 90.00
_cell_angle_beta 90.00
_cell_angle_gamma 90.00
loop_
_atom_site_label
_atom_site_type_symbol
_atom_site_fract_x
_atom_site_fract_y
_atom_site_fract_z
Zr1 Zr 0.250 0.250 0.250
Cr1 Cr 0.000 0.000 0.000
Pt1 Pt 0.000 0.000 0.500
# Spin magnetization: 0.0 μB/f.u.
# Offset from the most stable computed form: 14 meV per atom
# E_form: -0.38 eV per atom

***

(12)
# CaTc4Ir PBE-GGA optimized geometry
data_CaTc4Ir
_space_group_name_H-M_alt 'F -4 3 m'
_space_group_IT_number 216
_space_group_name_Hall 'F -4 2 3'
_cell_length_a 7.360
_cell_length_b 7.360
_cell_length_c 7.360
_cell_angle_alpha 90.00
_cell_angle_beta 90.00
_cell_angle_gamma 90.00
loop_
_atom_site_label
_atom_site_type_symbol
_atom_site_fract_x
_atom_site_fract_y
_atom_site_fract_z
Ca1 Ca 0.000 0.000 0.000
Tc1 Tc 0.125 0.125 0.375
Ir1 Ir 0.250 0.250 0.750
# Spin magnetization: 0.0 μB/f.u.
# E_form: 0.36 eV per atom